DFT (SCAN) results for a PBEsol-optimized structure of Ba2B5ClO9.

As for the crystal system: orthorhombic. Its space group is Pnn2 (34). Its density of states at the Fermi level is 0.0 states/eV/f.u.

Cell: 11.5994 11.6612 6.6959 Å, 90.00 90.00 90.00°
Fractional coordinates of all 68 atoms:
Ba (0.0437, 0.2455, 0.0000)
Ba (0.2326, 0.4800, 0.3441)
Ba (0.2674, 0.9800, 0.8441)
Ba (0.4563, 0.7455, 0.5000)
Ba (0.5437, 0.2545, 0.5000)
Ba (0.7326, 0.0200, 0.8441)
Ba (0.7674, 0.5200, 0.3441)
Ba (0.9563, 0.7545, 0.0000)
B (0.0104, 0.7482, 0.4785)
B (0.1858, 0.7290, 0.6944)
B (0.2017, 0.8187, 0.3478)
B (0.2145, 0.2136, 0.5281)
B (0.2263, 0.0433, 0.3127)
B (0.2737, 0.5433, 0.8127)
B (0.2855, 0.7136, 0.0281)
B (0.2983, 0.3187, 0.8478)
B (0.3142, 0.2290, 0.1944)
B (0.4896, 0.2482, 0.9785)
B (0.5104, 0.7518, 0.9785)
B (0.6858, 0.7710, 0.1944)
B (0.7017, 0.6813, 0.8478)
B (0.7145, 0.2864, 0.0281)
B (0.7263, 0.4567, 0.8127)
B (0.7737, 0.9567, 0.3127)
B (0.7855, 0.7864, 0.5281)
B (0.7983, 0.1813, 0.3478)
B (0.8142, 0.2710, 0.6944)
B (0.9896, 0.2518, 0.4785)
Cl (0.0000, 0.0000, 0.8603)
Cl (0.0000, 0.5000, 0.1249)
Cl (0.5000, 0.0000, 0.6249)
Cl (0.5000, 0.5000, 0.3603)
O (0.0611, 0.7098, 0.6512)
O (0.0759, 0.7952, 0.3283)
O (0.1059, 0.2678, 0.4441)
O (0.1918, 0.7611, 0.9059)
O (0.2068, 0.0857, 0.4998)
O (0.2263, 0.9310, 0.2563)
O (0.2298, 0.2305, 0.7418)
O (0.2332, 0.8177, 0.5616)
O (0.2497, 0.1204, 0.1583)
O (0.2503, 0.6204, 0.6583)
O (0.2668, 0.3177, 0.0616)
O (0.2702, 0.7305, 0.2418)
O (0.2737, 0.4310, 0.7563)
O (0.2932, 0.5857, 0.9998)
O (0.3082, 0.2611, 0.4059)
O (0.3941, 0.7678, 0.9441)
O (0.4241, 0.2952, 0.8283)
O (0.4389, 0.2098, 0.1512)
O (0.5611, 0.7902, 0.1512)
O (0.5759, 0.7048, 0.8283)
O (0.6059, 0.2322, 0.9441)
O (0.6918, 0.7389, 0.4059)
O (0.7068, 0.4143, 0.9998)
O (0.7263, 0.5690, 0.7563)
O (0.7298, 0.2695, 0.2418)
O (0.7332, 0.6823, 0.0616)
O (0.7497, 0.3796, 0.6583)
O (0.7503, 0.8796, 0.1583)
O (0.7668, 0.1823, 0.5616)
O (0.7702, 0.7695, 0.7418)
O (0.7737, 0.0690, 0.2563)
O (0.7932, 0.9143, 0.4998)
O (0.8082, 0.2389, 0.9059)
O (0.8941, 0.7322, 0.4441)
O (0.9241, 0.2048, 0.3283)
O (0.9389, 0.2902, 0.6512)


DFT (SCAN) results for a PBEsol-optimized structure of Ba4B10Cl2O19.

As for the crystal system: orthorhombic. Its space group is Pnn2 (34).

Cell: 11.6159 11.7094 6.7011 Å, 90.00 90.00 90.00°
Fractional coordinates of all 70 atoms:
Ba (0.0426, 0.2401, 0.0000)
Ba (0.2301, 0.4813, 0.3434)
Ba (0.2699, 0.9813, 0.8434)
Ba (0.4574, 0.7401, 0.5000)
Ba (0.5426, 0.2599, 0.5000)
Ba (0.7301, 0.0187, 0.8434)
Ba (0.7699, 0.5187, 0.3434)
Ba (0.9574, 0.7599, 0.0000)
B (0.0137, 0.7494, 0.4768)
B (0.1879, 0.7313, 0.6939)
B (0.2052, 0.8200, 0.3465)
B (0.2121, 0.2149, 0.5263)
B (0.2271, 0.0448, 0.3120)
B (0.2729, 0.5448, 0.8120)
B (0.2879, 0.7149, 0.0263)
B (0.2948, 0.3200, 0.8465)
B (0.3121, 0.2313, 0.1939)
B (0.4863, 0.2494, 0.9768)
B (0.5137, 0.7506, 0.9768)
B (0.6879, 0.7687, 0.1939)
B (0.7052, 0.6800, 0.8465)
B (0.7121, 0.2851, 0.0263)
B (0.7271, 0.4552, 0.8120)
B (0.7729, 0.9552, 0.3120)
B (0.7879, 0.7851, 0.5263)
B (0.7948, 0.1800, 0.3465)
B (0.8121, 0.2687, 0.6939)
B (0.9863, 0.2506, 0.4768)
Cl (0.0000, 0.0000, 0.8549)
Cl (0.0000, 0.5000, 0.0869)
Cl (0.5000, 0.0000, 0.5869)
Cl (0.5000, 0.5000, 0.3549)
O (0.0000, 0.5000, 0.4384)
O (0.0627, 0.7151, 0.6529)
O (0.0802, 0.7937, 0.3260)
O (0.1023, 0.2652, 0.4382)
O (0.1949, 0.7636, 0.9050)
O (0.2071, 0.0874, 0.4991)
O (0.2252, 0.2337, 0.7393)
O (0.2271, 0.9328, 0.2564)
O (0.2366, 0.8184, 0.5601)
O (0.2497, 0.1218, 0.1578)
O (0.2503, 0.6218, 0.6578)
O (0.2634, 0.3184, 0.0601)
O (0.2729, 0.4328, 0.7564)
O (0.2748, 0.7337, 0.2393)
O (0.2929, 0.5874, 0.9991)
O (0.3051, 0.2636, 0.4050)
O (0.3977, 0.7652, 0.9382)
O (0.4198, 0.2937, 0.8260)
O (0.4373, 0.2151, 0.1529)
O (0.5000, 0.0000, 0.9384)
O (0.5627, 0.7849, 0.1529)
O (0.5802, 0.7063, 0.8260)
O (0.6023, 0.2348, 0.9382)
O (0.6949, 0.7364, 0.4050)
O (0.7071, 0.4126, 0.9991)
O (0.7252, 0.2663, 0.2393)
O (0.7271, 0.5672, 0.7564)
O (0.7366, 0.6816, 0.0601)
O (0.7497, 0.3782, 0.6578)
O (0.7503, 0.8782, 0.1578)
O (0.7634, 0.1816, 0.5601)
O (0.7729, 0.0672, 0.2564)
O (0.7748, 0.7663, 0.7393)
O (0.7929, 0.9126, 0.4991)
O (0.8051, 0.2364, 0.9050)
O (0.8977, 0.7348, 0.4382)
O (0.9198, 0.2063, 0.3260)
O (0.9373, 0.2849, 0.6529)


DFT (SCAN) results for a PBEsol-optimized structure of Ba5B3ClO9.

As for the crystal system: orthorhombic. Its space group is C222_1 (20). Its density of states at the Fermi level is 0.0 states/eV/f.u.

Cell: 9.1040 9.1040 7.8557 Å, 90.00 90.00 109.84°
Fractional coordinates of all 36 atoms:
Ba (0.1362, 0.8638, 0.7500)
Ba (0.1405, 0.8595, 0.2500)
Ba (0.2368, 0.4948, 0.4440)
Ba (0.2613, 0.2613, 0.0000)
Ba (0.4948, 0.2368, 0.5560)
Ba (0.5052, 0.7632, 0.0560)
Ba (0.7387, 0.7387, 0.5000)
Ba (0.7632, 0.5052, 0.9440)
Ba (0.8595, 0.1405, 0.7500)
Ba (0.8638, 0.1362, 0.2500)
B (0.0953, 0.5149, 0.0311)
B (0.1276, 0.1276, 0.5000)
B (0.4851, 0.9047, 0.4689)
B (0.5149, 0.0953, 0.9689)
B (0.8724, 0.8724, 0.0000)
B (0.9047, 0.4851, 0.5311)
Cl (0.4550, 0.5450, 0.7500)
Cl (0.5450, 0.4550, 0.2500)
O (0.0063, 0.0063, 0.0000)
O (0.0108, 0.6334, 0.4914)
O (0.0638, 0.6490, 0.9865)
O (0.1904, 0.1927, 0.6547)
O (0.1927, 0.1904, 0.3453)
O (0.2313, 0.5286, 0.1186)
O (0.3510, 0.9362, 0.5135)
O (0.3666, 0.9892, 0.0086)
O (0.4714, 0.7687, 0.3814)
O (0.5286, 0.2313, 0.8814)
O (0.6334, 0.0108, 0.5086)
O (0.6490, 0.0638, 0.0135)
O (0.7687, 0.4714, 0.6186)
O (0.8073, 0.8096, 0.8453)
O (0.8096, 0.8073, 0.1547)
O (0.9362, 0.3510, 0.4865)
O (0.9892, 0.3666, 0.9914)
O (0.9937, 0.9937, 0.5000)


DFT (SCAN) results for a PBEsol-optimized structure of Ba3B3Pb2ClO9.

As for the crystal system: orthorhombic. Its space group is C222_1 (20). Its density of states at the Fermi level is 0.0 states/eV/f.u.

Cell: 8.8664 8.8664 7.8954 Å, 90.00 90.00 107.79°
Fractional coordinates of all 36 atoms:
Ba (0.1416, 0.8584, 0.7500)
Ba (0.1506, 0.8494, 0.2500)
Ba (0.2660, 0.2660, 0.5000)
Ba (0.7340, 0.7340, 0.0000)
Ba (0.8494, 0.1506, 0.7500)
Ba (0.8584, 0.1416, 0.2500)
B (0.0748, 0.5089, 0.4575)
B (0.1264, 0.1264, 0.0000)
B (0.4911, 0.9252, 0.0425)
B (0.5089, 0.0748, 0.5425)
B (0.8736, 0.8736, 0.5000)
B (0.9252, 0.4911, 0.9575)
Pb (0.2365, 0.4772, 0.0761)
Pb (0.4772, 0.2365, 0.9239)
Pb (0.5228, 0.7635, 0.4239)
Pb (0.7635, 0.5228, 0.5761)
Cl (0.4463, 0.5537, 0.7500)
Cl (0.5537, 0.4463, 0.2500)
O (0.0064, 0.0064, 0.5000)
O (0.0163, 0.6420, 0.0030)
O (0.0338, 0.6401, 0.5114)
O (0.1837, 0.1980, 0.1543)
O (0.1980, 0.1837, 0.8457)
O (0.2095, 0.5336, 0.3579)
O (0.3580, 0.9837, 0.4970)
O (0.3599, 0.9662, 0.9886)
O (0.4664, 0.7905, 0.1421)
O (0.5336, 0.2095, 0.6421)
O (0.6401, 0.0338, 0.4886)
O (0.6420, 0.0163, 0.9970)
O (0.7905, 0.4664, 0.8579)
O (0.8020, 0.8163, 0.3457)
O (0.8163, 0.8020, 0.6543)
O (0.9662, 0.3599, 0.0114)
O (0.9837, 0.3580, 0.5030)
O (0.9936, 0.9936, 0.0000)


no.,raw formation energy (meV/atom)
1,-2882
2,-2738
3,-3037
4,-2581